No. 1
! PBE Pr3Sb4Pd4, relaxed; values from VASP
! Raw total energy   -62.28 eV per cell
! Total magnetic moment   0.00 μB per formula unit
&SYSTEM
  ibrav = 0, nat = 11, ntyp = 3
/
ATOMIC_SPECIES
Pd 106.42 Pd.upf
Pr 140.91 Pr.upf
Sb 121.76 Sb.upf
ATOMIC_POSITIONS crystal
Pd 0.870 0.673 0.198
Pd 0.525 0.327 0.198
Pd 0.130 0.327 0.802
Pd 0.475 0.673 0.802
Pr 0.132 0.132 0.000
Pr 0.868 0.868 0.000
Pr 0.500 0.000 0.500
Sb 0.799 0.500 0.299
Sb 0.714 0.214 0.500
Sb 0.286 0.786 0.500
Sb 0.201 0.500 0.701
CELL_PARAMETERS angstrom
-6.312 5.093 3.176
-6.111 3.256 -5.284
3.955 -6.903 3.545

=====

No. 2
! PBE PrPdSe3, relaxed; values from VASP
! Raw total energy   -51.57 eV per cell
! Total magnetic moment   0.00 μB per formula unit
&SYSTEM
  ibrav = 0, nat = 10, ntyp = 3
/
ATOMIC_SPECIES
Pd 106.42 Pd.upf
Pr 140.91 Pr.upf
Se 78.96 Se.upf
ATOMIC_POSITIONS crystal
Pd 0.000 0.000 0.000
Pd 0.000 0.000 0.500
Pr 0.777 0.223 0.250
Pr 0.223 0.777 0.750
Se 0.355 0.645 0.026
Se 0.071 0.929 0.250
Se 0.355 0.645 0.474
Se 0.645 0.355 0.526
Se 0.929 0.071 0.750
Se 0.645 0.355 0.974
CELL_PARAMETERS angstrom
-2.549 5.268 0.217
-0.518 -5.072 -2.880
-6.328 -3.352 7.043

=====

No. 3
! PBE PrSiPd2, relaxed; values from VASP
! Raw total energy   -96.60 eV per cell
! Total magnetic moment   0.00 μB per formula unit
&SYSTEM
  ibrav = 0, nat = 16, ntyp = 3
/
ATOMIC_SPECIES
Pd 106.42 Pd.upf
Pr 140.91 Pr.upf
Si 28.09 Si.upf
ATOMIC_POSITIONS crystal
Pd 0.174 0.053 0.093
Pd 0.174 0.447 0.093
Pd 0.674 0.053 0.407
Pd 0.674 0.447 0.407
Pd 0.326 0.553 0.593
Pd 0.326 0.947 0.593
Pd 0.826 0.553 0.907
Pd 0.826 0.947 0.907
Pr 0.470 0.750 0.143
Pr 0.970 0.750 0.357
Pr 0.030 0.250 0.643
Pr 0.530 0.250 0.857
Si 0.875 0.250 0.147
Si 0.375 0.250 0.353
Si 0.625 0.750 0.647
Si 0.125 0.750 0.853
CELL_PARAMETERS angstrom
-2.153 7.277 0.430
-6.575 -2.008 1.065
0.928 -0.058 5.621

=====

No. 4
! PBE PrSi4Pd3, relaxed; values from VASP
! Raw total energy   -45.81 eV per cell
! Total magnetic moment   0.00 μB per formula unit
&SYSTEM
  ibrav = 0, nat = 8, ntyp = 3
/
ATOMIC_SPECIES
Pd 106.42 Pd.upf
Pr 140.91 Pr.upf
Si 28.09 Si.upf
ATOMIC_POSITIONS crystal
Pd 0.132 0.500 0.400
Pd 0.814 0.000 0.676
Pd 0.402 0.500 0.803
Pr 0.659 0.000 0.195
Si 0.637 0.500 0.499
Si 0.301 0.000 0.556
Si 0.886 0.500 0.929
Si 0.169 0.000 0.941
CELL_PARAMETERS angstrom
-4.720 -0.156 0.161
-0.112 -0.752 -4.007
0.519 -7.201 1.337

=====

No. 5
! PBE PrSiPd, relaxed; values from VASP
! Raw total energy   -15.10 eV per cell
! Total magnetic moment   0.00 μB per formula unit
&SYSTEM
  ibrav = 0, nat = 3, ntyp = 3
/
ATOMIC_SPECIES
Pd 106.42 Pd.upf
Pr 140.91 Pr.upf
Si 28.09 Si.upf
ATOMIC_POSITIONS crystal
Pd 0.250 0.250 0.250
Pr 0.000 0.000 0.000
Si 0.750 0.750 0.750
CELL_PARAMETERS angstrom
0.000 3.387 3.387
3.387 0.000 3.387
3.387 3.387 0.000

=====

No. 6
! PBE PrSiPd, relaxed; values from VASP
! Raw total energy   -17.02 eV per cell
! Total magnetic moment   0.47 μB per formula unit
&SYSTEM
  ibrav = 0, nat = 3, ntyp = 3
/
ATOMIC_SPECIES
Pd 106.42 Pd.upf
Pr 140.91 Pr.upf
Si 28.09 Si.upf
ATOMIC_POSITIONS crystal
Pd 0.000 0.000 0.000
Pr 0.250 0.250 0.250
Si 0.750 0.750 0.750
CELL_PARAMETERS angstrom
2.683 -1.734 3.353
-1.630 -0.353 4.320
-0.933 -4.168 1.790

=====

No. 7
! PBE PrSiPd3, relaxed; values from VASP
! Raw total energy   -30.00 eV per cell
! Total magnetic moment   0.00 μB per formula unit
&SYSTEM
  ibrav = 0, nat = 5, ntyp = 3
/
ATOMIC_SPECIES
Pd 106.42 Pd.upf
Pr 140.91 Pr.upf
Si 28.09 Si.upf
ATOMIC_POSITIONS crystal
Pd 0.500 0.500 0.136
Pd 0.500 0.000 0.479
Pd 0.000 0.500 0.479
Pr 0.000 0.000 0.975
Si 0.500 0.500 0.703
CELL_PARAMETERS angstrom
4.153 0.000 0.000
0.000 4.153 0.000
0.000 0.000 5.418

=====

No. 8
! PBE Pr2Si3Pd, relaxed; values from VASP
! Raw total energy   -72.76 eV per cell
! Total magnetic moment   0.00 μB per formula unit
&SYSTEM
  ibrav = 0, nat = 12, ntyp = 3
/
ATOMIC_SPECIES
Pd 106.42 Pd.upf
Pr 140.91 Pr.upf
Si 28.09 Si.upf
ATOMIC_POSITIONS crystal
Pd 0.833 0.833 0.167
Pd 0.167 0.167 0.833
Pr 0.250 0.250 0.250
Pr 0.255 0.745 0.255
Pr 0.745 0.255 0.745
Pr 0.750 0.750 0.750
Si 0.832 0.333 0.168
Si 0.667 0.168 0.333
Si 0.666 0.666 0.334
Si 0.334 0.334 0.666
Si 0.333 0.832 0.667
Si 0.168 0.667 0.832
CELL_PARAMETERS angstrom
0.000 4.304 7.175
4.145 0.000 7.175
4.145 4.304 0.000

=====

No. 9
! PBE PrSi2Pd2, relaxed; values from VASP
! Raw total energy   -29.88 eV per cell
! Total magnetic moment   0.01 μB per formula unit
&SYSTEM
  ibrav = 0, nat = 5, ntyp = 3
/
ATOMIC_SPECIES
Pd 106.42 Pd.upf
Pr 140.91 Pr.upf
Si 28.09 Si.upf
ATOMIC_POSITIONS crystal
Pd 0.363 0.363 0.000
Pd 0.637 0.637 0.000
Pr 0.000 0.000 0.000
Si 0.750 0.250 0.500
Si 0.250 0.750 0.500
CELL_PARAMETERS angstrom
4.424 -3.549 1.464
4.815 2.477 2.232
-5.773 0.254 0.955

=====

No. 10
! PBE PrSiPd, relaxed; values from VASP
! Raw total energy   -145.06 eV per cell
! Total magnetic moment   0.00 μB per formula unit
&SYSTEM
  ibrav = 0, nat = 24, ntyp = 3
/
ATOMIC_SPECIES
Pd 106.42 Pd.upf
Pr 140.91 Pr.upf
Si 28.09 Si.upf
ATOMIC_POSITIONS crystal
Pd 0.052 0.099 0.164
Pd 0.668 0.108 0.178
Pd 0.332 0.608 0.322
Pd 0.948 0.599 0.336
Pd 0.052 0.401 0.664
Pd 0.668 0.392 0.678
Pd 0.332 0.892 0.822
Pd 0.948 0.901 0.836
Pr 0.143 0.634 0.034
Pr 0.370 0.132 0.174
Pr 0.630 0.632 0.326
Pr 0.857 0.134 0.466
Pr 0.143 0.866 0.534
Pr 0.370 0.368 0.674
Pr 0.630 0.868 0.826
Pr 0.857 0.366 0.966
Si 0.423 0.633 0.035
Si 0.856 0.857 0.124
Si 0.144 0.357 0.376
Si 0.577 0.133 0.465
Si 0.423 0.867 0.535
Si 0.856 0.643 0.624
Si 0.144 0.143 0.876
Si 0.577 0.367 0.965
CELL_PARAMETERS angstrom
10.885 0.000 0.018
0.000 5.875 0.000
-0.264 0.000 7.897

=====

No. 11
! PBE PrSm2Zn2Si4Pd2, relaxed; values from VASP
! Raw total energy   -57.02 eV per cell
! Distance to the lowest polymorph of the same formula   16 meV per atom
! Total magnetic moment   0.00 μB per formula unit
&SYSTEM
  ibrav = 0, nat = 11, ntyp = 5
/
ATOMIC_SPECIES
Pd 106.42 Pd.upf
Pr 140.91 Pr.upf
Si 28.09 Si.upf
Sm 150.36 Sm.upf
Zn 65.41 Zn.upf
ATOMIC_POSITIONS crystal
Pd 0.905 0.405 0.500
Pd 0.095 0.595 0.500
Pr 0.000 0.000 0.000
Si 0.452 0.452 0.000
Si 0.548 0.548 0.000
Si 0.810 0.310 0.500
Si 0.190 0.690 0.500
Sm 0.646 0.146 0.500
Sm 0.354 0.854 0.500
Zn 0.250 0.250 0.000
Zn 0.750 0.750 0.000
CELL_PARAMETERS angstrom
-2.049 2.105 12.578
2.049 -2.105 12.578
2.049 2.105 -12.578

=====

No. 12
! PBE PrSm2Zn2Si4Pd2, relaxed; values from VASP
! Raw total energy   -57.19 eV per cell
! Distance to the lowest polymorph of the same formula   0 meV per atom
! Total magnetic moment   0.01 μB per formula unit
&SYSTEM
  ibrav = 0, nat = 11, ntyp = 5
/
ATOMIC_SPECIES
Pd 106.42 Pd.upf
Pr 140.91 Pr.upf
Si 28.09 Si.upf
Sm 150.36 Sm.upf
Zn 65.41 Zn.upf
ATOMIC_POSITIONS crystal
Pd 0.250 0.250 0.000
Pd 0.750 0.750 0.000
Pr 0.000 0.000 0.000
Si 0.451 0.451 0.000
Si 0.549 0.549 0.000
Si 0.695 0.195 0.500
Si 0.305 0.805 0.500
Sm 0.852 0.352 0.500
Sm 0.148 0.648 0.500
Zn 0.598 0.098 0.500
Zn 0.402 0.902 0.500
CELL_PARAMETERS angstrom
-2.082 2.109 12.243
2.082 -2.109 12.243
2.082 2.109 -12.243

=====

No. 13
! PBE PrSmTlPd2, relaxed; values from VASP
! Raw total energy   -25.83 eV per cell
! Total magnetic moment   0.00 μB per formula unit
&SYSTEM
  ibrav = 0, nat = 5, ntyp = 4
/
ATOMIC_SPECIES
Pd 106.42 Pd.upf
Pr 140.91 Pr.upf
Sm 150.36 Sm.upf
Tl 204.38 Tl.upf
ATOMIC_POSITIONS crystal
Pd 0.500 0.193 0.193
Pd 0.500 0.809 0.809
Pr 0.000 0.633 0.633
Sm 0.000 0.366 0.366
Tl 0.500 0.999 0.999
CELL_PARAMETERS angstrom
-1.046 -2.799 2.335
5.807 -4.565 -2.870
7.515 -2.484 0.389

=====

No. 14
! PBE PrSnPd, relaxed; values from VASP
! Raw total energy   -66.62 eV per cell
! Total magnetic moment   0.00 μB per formula unit
&SYSTEM
  ibrav = 0, nat = 12, ntyp = 3
/
ATOMIC_SPECIES
Pd 106.42 Pd.upf
Pr 140.91 Pr.upf
Sn 118.71 Sn.upf
ATOMIC_POSITIONS crystal
Pd 0.804 0.250 0.082
Pd 0.304 0.250 0.418
Pd 0.696 0.750 0.582
Pd 0.196 0.750 0.918
Pr 0.487 0.750 0.201
Pr 0.987 0.750 0.299
Pr 0.013 0.250 0.701
Pr 0.513 0.250 0.799
Sn 0.189 0.250 0.090
Sn 0.689 0.250 0.410
Sn 0.311 0.750 0.590
Sn 0.811 0.750 0.910
CELL_PARAMETERS angstrom
-1.196 3.067 6.851
-4.690 -0.236 -0.713
-0.127 -7.308 3.249

=====

No. 15
! PBE PrSnPd3, relaxed; values from VASP
! Raw total energy   -52.66 eV per cell
! Total magnetic moment   0.00 μB per formula unit
&SYSTEM
  ibrav = 0, nat = 10, ntyp = 3
/
ATOMIC_SPECIES
Pd 106.42 Pd.upf
Pr 140.91 Pr.upf
Sn 118.71 Sn.upf
ATOMIC_POSITIONS crystal
Pd 0.250 0.250 0.000
Pd 0.750 0.750 0.000
Pd 0.854 0.354 0.208
Pd 0.354 0.146 0.500
Pd 0.646 0.854 0.500
Pd 0.146 0.646 0.792
Pr 0.750 0.250 0.500
Pr 0.250 0.750 0.500
Sn 0.000 0.000 0.000
Sn 0.500 0.500 0.000
CELL_PARAMETERS angstrom
-3.304 3.304 5.244
3.304 -3.304 5.244
3.304 3.304 -5.244

=====

No. 16
! PBE PrSnPd, relaxed; values from VASP
! Raw total energy   -50.02 eV per cell
! Total magnetic moment   0.00 μB per formula unit
&SYSTEM
  ibrav = 0, nat = 9, ntyp = 3
/
ATOMIC_SPECIES
Pd 106.42 Pd.upf
Pr 140.91 Pr.upf
Sn 118.71 Sn.upf
ATOMIC_POSITIONS crystal
Pd 0.667 0.333 0.000
Pd 0.333 0.667 0.000
Pd 0.000 0.000 0.500
Pr 0.585 0.000 0.500
Pr 0.415 0.415 0.500
Pr 0.000 0.585 0.500
Sn 0.250 0.000 0.000
Sn 0.000 0.250 0.000
Sn 0.750 0.750 0.000
CELL_PARAMETERS angstrom
7.622 0.000 0.000
-3.811 6.601 0.000
0.000 0.000 4.190

=====

No. 17
! PBE PrSnPd, relaxed; values from VASP
! Raw total energy   -45.61 eV per cell
! Total magnetic moment   0.00 μB per formula unit
&SYSTEM
  ibrav = 0, nat = 9, ntyp = 3
/
ATOMIC_SPECIES
Pd 106.42 Pd.upf
Pr 140.91 Pr.upf
Sn 118.71 Sn.upf
ATOMIC_POSITIONS crystal
Pd 0.638 0.000 0.000
Pd 0.362 0.362 0.000
Pd 0.000 0.638 0.000
Pr 0.296 0.000 0.500
Pr 0.000 0.296 0.500
Pr 0.704 0.704 0.500
Sn 0.000 0.000 0.000
Sn 0.667 0.333 0.500
Sn 0.333 0.667 0.500
CELL_PARAMETERS angstrom
-2.505 -5.869 -5.615
5.915 -1.915 5.796
-2.501 -1.044 2.207

=====

No. 18
! PBE PrSnPd, relaxed; values from VASP
! Raw total energy   -48.84 eV per cell
! Total magnetic moment   0.01 μB per formula unit
&SYSTEM
  ibrav = 0, nat = 9, ntyp = 3
/
ATOMIC_SPECIES
Pd 106.42 Pd.upf
Pr 140.91 Pr.upf
Sn 118.71 Sn.upf
ATOMIC_POSITIONS crystal
Pd 0.237 0.000 0.000
Pd 0.000 0.237 0.000
Pd 0.763 0.763 0.000
Pr 0.571 0.000 0.500
Pr 0.429 0.429 0.500
Pr 0.000 0.571 0.500
Sn 0.667 0.333 0.000
Sn 0.333 0.667 0.000
Sn 0.000 0.000 0.500
CELL_PARAMETERS angstrom
7.337 0.000 0.000
-3.669 6.354 0.000
0.000 0.000 4.594

=====

No. 19
! PBE PrSn2Pd3, relaxed; values from VASP
! Raw total energy   -132.00 eV per cell
! Total magnetic moment   0.00 μB per formula unit
&SYSTEM
  ibrav = 0, nat = 24, ntyp = 3
/
ATOMIC_SPECIES
Pd 106.42 Pd.upf
Pr 140.91 Pr.upf
Sn 118.71 Sn.upf
ATOMIC_POSITIONS crystal
Pd 0.481 0.750 0.096
Pd 0.900 0.250 0.139
Pd 0.754 0.750 0.226
Pd 0.254 0.750 0.274
Pd 0.400 0.250 0.361
Pd 0.981 0.750 0.404
Pd 0.019 0.250 0.596
Pd 0.600 0.750 0.639
Pd 0.746 0.250 0.726
Pd 0.246 0.250 0.774
Pd 0.100 0.750 0.861
Pd 0.519 0.250 0.904
Pr 0.262 0.250 0.069
Pr 0.762 0.250 0.431
Pr 0.238 0.750 0.569
Pr 0.738 0.750 0.931
Sn 0.023 0.750 0.128
Sn 0.613 0.250 0.149
Sn 0.113 0.250 0.351
Sn 0.523 0.750 0.372
Sn 0.477 0.250 0.628
Sn 0.887 0.750 0.649
Sn 0.387 0.750 0.851
Sn 0.977 0.250 0.872
CELL_PARAMETERS angstrom
-2.953 5.279 7.699
-1.852 -3.964 2.007
8.976 -1.818 4.690

=====

No. 20
! PBE SrPrSn4Pd2, relaxed; values from VASP
! Raw total energy   -38.43 eV per cell
! Total magnetic moment   0.00 μB per formula unit
&SYSTEM
  ibrav = 0, nat = 8, ntyp = 4
/
ATOMIC_SPECIES
Pd 106.42 Pd.upf
Pr 140.91 Pr.upf
Sn 118.71 Sn.upf
Sr 87.62 Sr.upf
ATOMIC_POSITIONS crystal
Pd 0.500 0.326 0.326
Pd 0.000 0.677 0.677
Pr 0.000 0.888 0.888
Sn 0.000 0.253 0.253
Sn 0.500 0.457 0.457
Sn 0.000 0.542 0.542
Sn 0.500 0.750 0.750
Sr 0.500 0.108 0.108
CELL_PARAMETERS angstrom
4.615 0.000 0.000
0.000 2.277 9.837
0.000 -2.277 9.837

=====

No. 21
! PBE Sr2PrSn4Pd4, relaxed; values from VASP
! Raw total energy   -52.94 eV per cell
! Total magnetic moment   0.03 μB per formula unit
&SYSTEM
  ibrav = 0, nat = 11, ntyp = 4
/
ATOMIC_SPECIES
Pd 106.42 Pd.upf
Pr 140.91 Pr.upf
Sn 118.71 Sn.upf
Sr 87.62 Sr.upf
ATOMIC_POSITIONS crystal
Pd 0.252 0.252 0.000
Pd 0.748 0.748 0.000
Pd 0.902 0.402 0.500
Pd 0.098 0.598 0.500
Pr 0.000 0.000 0.000
Sn 0.448 0.448 0.000
Sn 0.552 0.552 0.000
Sn 0.803 0.303 0.500
Sn 0.197 0.697 0.500
Sr 0.648 0.148 0.500
Sr 0.352 0.852 0.500
CELL_PARAMETERS angstrom
1.215 13.676 1.726
-5.126 12.726 1.804
2.233 -13.583 1.406

=====

No. 22
! PBE Pr2TlSnPd4, relaxed; values from VASP
! Raw total energy   -42.43 eV per cell
! Total magnetic moment   0.02 μB per formula unit
&SYSTEM
  ibrav = 0, nat = 8, ntyp = 4
/
ATOMIC_SPECIES
Pd 106.42 Pd.upf
Pr 140.91 Pr.upf
Sn 118.71 Sn.upf
Tl 204.38 Tl.upf
ATOMIC_POSITIONS crystal
Pd 0.333 0.667 0.087
Pd 0.333 0.667 0.416
Pd 0.667 0.333 0.584
Pd 0.667 0.333 0.913
Pr 0.667 0.333 0.251
Pr 0.333 0.667 0.749
Sn 0.000 0.000 0.500
Tl 0.000 0.000 0.000
CELL_PARAMETERS angstrom
-4.646 -0.267 -0.567
2.864 -1.899 -3.190
-0.108 -7.958 4.640